No. 1
This record from the Alexandria database describes a relaxed PmBi3Pb3 crystal. The functional is PBE-GGA.

Lattice parameters (Å, degrees): 6.9880 6.9880 9.7253 90.03 90.03 81.57
With the nearest neighbours (Å) after each atom.
Element x y z (fractional)
Bi (0.0000, 0.5001, 0.2468)  2 Pm 3.34, 6 Pb 3.36-3.62, 2 Bi 3.49-3.50
Bi (0.5001, 0.0000, 0.2468)  2 Pm 3.34, 6 Pb 3.36-3.62, 2 Bi 3.49-3.50
Bi (0.0000, 0.0000, 0.2548)  2 Pm 3.34, 6 Pb 3.44-3.70, 4 Bi 3.49-3.50
Bi (0.0000, 0.4999, 0.7532)  2 Pm 3.34, 6 Pb 3.36-3.62, 2 Bi 3.49-3.50
Bi (0.0000, 0.0000, 0.7452)  2 Pm 3.34, 6 Pb 3.44-3.70, 4 Bi 3.49-3.50
Bi (0.4999, 0.0000, 0.7532)  2 Pm 3.34, 6 Pb 3.36-3.62, 2 Bi 3.49-3.50
Pm (0.7880, 0.7880, 0.0000)  6 Bi 3.34, 4 Pb 3.55
Pm (0.2120, 0.2120, 0.0000)  6 Bi 3.34, 4 Pb 3.55
Pb (0.2517, 0.2517, 0.4999)  4 Pb 3.36-3.64, 6 Bi 3.36-3.58
Pb (0.6985, 0.3015, 0.0000)  4 Pm 3.55, 6 Bi 3.60-3.70, 1 Pb 3.62
Pb (0.7483, 0.7483, 0.5001)  4 Pb 3.36-3.64, 6 Bi 3.36-3.58
Pb (0.7288, 0.2712, 0.5000)  4 Pb 3.36-3.64, 6 Bi 3.44-3.62
Pb (0.3015, 0.6985, 0.0000)  4 Pm 3.55, 6 Bi 3.60-3.70, 1 Pb 3.62
Pb (0.2712, 0.7288, 0.5000)  4 Pb 3.36-3.64, 6 Bi 3.44-3.62

Computed properties:
Size of the total moment   0.00 μB/atom
DFT formation energy   -1.157 eV per formula unit

=====

No. 2
This record from the Alexandria database describes a relaxed NpP2N6 crystal. The functional is PBE-GGA.

Lattice parameters (Å, degrees): 3.6399 5.3487 6.0735 101.36 90.00 109.89
With the nearest neighbours (Å) after each atom.
Element x y z (fractional)
N (0.8964, 0.7929, 0.7392)  1 P 1.65
N (0.2474, 0.4948, 0.8856)  3 P 1.69-1.85
N (0.6167, 0.2334, 0.6320)  1 P 1.65
N (0.7526, 0.5052, 0.1144)  3 P 1.69-1.85
N (0.3833, 0.7666, 0.3680)  1 P 1.65
N (0.1036, 0.2071, 0.2608)  1 P 1.65
Np (0.0000, 0.0000, 0.5000)  2 N 1.96
P (0.7545, 0.5090, 0.8361)  5 N 1.65-1.85
P (0.2455, 0.4910, 0.1639)  5 N 1.65-1.85

Computed properties:
Size of the total moment   0.00 μB/atom
Formation energy (no corrections)   -0.06 eV/atom

=====

What is the size of the total moment in the first record? 0.00 μB/atom

=====

size of the total moment of number 2 (NpP2N6)? 0.00 μB/atom